## Rb2CoHF6 (PBE+U)

Data for a relaxed Rb2CoHF6 crystal.

Values from the calculation:
Total magnetization   2.00 μB/cell
SG   I4/mmm (139)
Raw total energy   -0.150 Ha/atom

Lattice parameters (Å, degrees): 5.300 5.300 6.202 64.70 64.70 90.00
Site moments in Bohr magnetons follow the coordinates.
Positions (direct):
1 H 0.500 0.500 0.000  0.02
2 Co 0.000 0.000 0.000  1.85
3 Rb 0.750 0.250 0.500  0.00
4 Rb 0.250 0.750 0.500  0.00
5 F 0.186 0.186 0.628  -0.05
6 F 0.814 0.814 0.372  -0.05
7 F 0.266 0.266 0.000  0.05
8 F 0.734 0.734 0.000  0.05
9 F 0.734 0.266 0.000  0.05
10 F 0.266 0.734 0.000  0.05